Entry from Alexandria: crystalline MnMoF6 at its relaxed geometry (PBE+U).

CIF file:
```
data_MnMoF6
_cell_length_a 5.806
_cell_length_b 5.806
_cell_length_c 8.159
_cell_angle_alpha 96.58
_cell_angle_beta 96.58
_cell_angle_gamma 62.08
_space_group_name_H-M_alt 'P 1'
_space_group_IT_number 1
loop_
_space_group_symop_operation_xyz
'x,y,z'
loop_
_atom_site_label
_atom_site_type_symbol
_atom_site_fract_x
_atom_site_fract_y
_atom_site_fract_z
Mn1 Mn 0.025 0.975 0.250
Mn2 Mn 0.975 0.025 0.750
Mo1 Mo 0.000 0.500 0.500
Mo2 Mo 0.500 0.000 0.000
F1 F 0.195 0.609 0.367
F2 F 0.805 0.391 0.633
F3 F 0.391 0.805 0.133
F4 F 0.609 0.195 0.867
F5 F 0.844 0.416 0.289
F6 F 0.156 0.584 0.711
F7 F 0.584 0.156 0.211
F8 F 0.416 0.844 0.789
F9 F 0.099 0.210 0.966
F10 F 0.901 0.790 0.034
F11 F 0.790 0.901 0.534
F12 F 0.210 0.099 0.466
```

* space-group type: C2/c, No. 15
* DFT total energy: -91.534 eV/cell
* total moment: 0.875 μB/atom